SrNd3Hg2: relaxed, GGA-PBE.

The structure in POSCAR format:
```
SrNd3Hg2
1.0
5.338 0.000 0.000
0.000 9.602 0.000
0.000 0.000 7.554
Sr Nd Hg
2 6 4
Direct
0.000 0.061 0.000
0.000 0.939 0.500
0.000 0.335 0.650
0.000 0.665 0.150
0.500 0.175 0.326
0.500 0.438 0.977
0.500 0.562 0.477
0.500 0.825 0.826
0.000 0.350 0.237
0.000 0.650 0.737
0.500 0.153 0.738
0.500 0.847 0.238
```

## Properties
**DFT formation energy**: -314 meV per atom
**Space group**: No. 26
**Uncorrected energy**: -0.22628 Ry/atom
**E above lowest polymorph**: 0.000 eV per atom

Bi2OsRu: relaxed, GGA-PBE.

The structure in POSCAR format:
```
Bi2OsRu
1.0
6.118 0.000 0.000
0.000 6.118 0.000
0.000 0.000 12.195
Bi Os Ru
8 4 4
Direct
0.250 0.250 0.125
0.250 0.250 0.625
0.250 0.750 0.375
0.250 0.750 0.875
0.750 0.250 0.375
0.750 0.250 0.875
0.750 0.750 0.125
0.750 0.750 0.625
0.000 0.000 0.000
0.000 0.500 0.250
0.500 0.000 0.750
0.500 0.500 0.500
0.000 0.000 0.500
0.000 0.500 0.750
0.500 0.000 0.250
0.500 0.500 0.000
```

## Properties
**DFT formation energy**: 1167 meV per atom
**Space group**: No. 122
**Uncorrected energy**: -0.43361 Ry/atom
**E above lowest polymorph**: 0.389 eV per atom

CaCrPt2: relaxed, GGA-PBE.

The structure in POSCAR format:
```
CaCrPt2
1.0
4.810 0.000 0.000
0.000 4.810 0.000
0.000 0.000 3.054
Ca Cr Pt
1 1 2
Direct
0.000 0.000 0.000
0.500 0.500 0.000
0.000 0.500 0.500
0.500 0.000 0.500
```

## Properties
**DFT formation energy**: -370 meV per atom
**Space group**: No. 123
**Uncorrected energy**: -0.46280 Ry/atom
**E above lowest polymorph**: 0.045 eV per atom

Dy6Al5Cd: relaxed, GGA-PBE.

The structure in POSCAR format:
```
Dy6Al5Cd
1.0
5.145 0.000 0.000
0.000 7.205 0.000
-2.551 0.000 7.718
Dy Al Cd
6 5 1
Direct
0.000 0.246 0.000
0.000 0.754 0.000
0.331 0.249 0.663
0.331 0.751 0.663
0.669 0.249 0.337
0.669 0.751 0.337
0.164 0.500 0.328
0.166 0.000 0.332
0.500 0.000 0.000
0.834 0.000 0.668
0.836 0.500 0.672
0.500 0.500 0.000
```

## Properties
**DFT formation energy**: -386 meV per atom
**Space group**: No. 10
**Uncorrected energy**: -0.31774 Ry/atom

TiZnTc2C: relaxed, GGA-PBE.

The structure in POSCAR format:
```
TiZnTc2C
1.0
4.057 0.000 0.000
0.000 4.057 0.000
0.000 0.000 4.151
Ti Zn Tc C
1 1 2 1
Direct
0.000 0.000 0.000
0.500 0.500 0.000
0.000 0.500 0.500
0.500 0.000 0.500
0.000 0.000 0.500
```

## Properties
**DFT formation energy**: -101 meV per atom
**Space group**: No. 123
**Uncorrected energy**: -0.58257 Ry/atom

PmHo2Hf: relaxed, GGA-PBE.

The structure in POSCAR format:
```
PmHo2Hf
1.0
3.973 0.000 0.000
0.000 3.973 0.000
0.000 0.000 7.467
Pm Ho Hf
1 2 1
Direct
0.000 0.000 0.000
0.500 0.500 0.284
0.500 0.500 0.716
0.000 0.000 0.500
```

## Properties
**DFT formation energy**: 223 meV per atom
**Space group**: No. 123
**Uncorrected energy**: -0.42203 Ry/atom
**E above lowest polymorph**: 0.111 eV per atom

CsRbTl2Br8: relaxed, GGA-PBE.

The structure in POSCAR format:
```
CsRbTl2Br8
1.0
-3.828 3.828 8.990
3.828 -3.828 8.990
3.828 3.828 -8.990
Cs Rb Tl Br
1 1 2 8
Direct
0.000 0.000 0.000
0.250 0.750 0.500
0.500 0.500 0.000
0.750 0.250 0.500
0.277 0.662 0.105
0.338 0.443 0.615
0.426 0.018 0.104
0.557 0.171 0.895
0.679 0.574 0.593
0.829 0.723 0.385
0.914 0.321 0.896
0.982 0.086 0.407
```

## Properties
**Space group**: No. 82
**Uncorrected energy**: -0.19185 Ry/atom

Ti2InAg2: relaxed, GGA-PBE.

The structure in POSCAR format:
```
Ti2InAg2
1.0
7.578 0.000 0.000
0.000 7.578 0.000
0.000 0.000 3.256
Ti In Ag
4 2 4
Direct
0.168 0.332 0.000
0.332 0.832 0.000
0.668 0.168 0.000
0.832 0.668 0.000
0.000 0.000 0.500
0.500 0.500 0.500
0.129 0.629 0.500
0.371 0.129 0.500
0.629 0.871 0.500
0.871 0.371 0.500
```

## Properties
**DFT formation energy**: 95 meV per atom
**Space group**: No. 127
**Uncorrected energy**: -0.34924 Ry/atom
**E above lowest polymorph**: 0.000 eV per atom